Pm3Ho7Sc2 | PBE | optimized geometry

* M_tot: 0.000 μB per atom
* energy relative to the lowest polymorph listed for this composition: 0 meV/atom
* energy of formation: 119 kJ/mol of formula units
* space group: P2/m (10)
* DOS at the Fermi energy: 16.01 states/eV/cell

Lattice parameters (Å, degrees): 3.513 5.764 19.016 104.52 90.00 90.00
Fractional coordinates of all 12 atoms:
Sc 0.500 0.419 0.707
Sc 0.500 0.581 0.293
Ho 0.000 0.545 0.853
Ho 0.500 0.282 0.539
Ho 0.000 0.000 0.000
Ho 0.500 0.718 0.461
Ho 0.500 0.985 0.180
Ho 0.500 0.015 0.820
Ho 0.000 0.455 0.147
Pm 0.000 0.858 0.635
Pm 0.000 0.142 0.365
Pm 0.500 0.500 0.000